[1]
VASP calculation (PBEsol) on a geometry-optimized MoPt2Au structure.

Output
**Energy of formation**: 0.14 eV per atom
**Total energy**: -29.06 eV/f.u.
**Energy above the lowest structure with this stoichiometry**: 390 meV/atom
**SG**: P4/mmm

Unit cell a=3.9878 b=3.9878 c=3.9054 alpha=90.00 beta=90.00 gamma=90.00
Fractional coordinates of all 4 atoms:
Mo1 0.0000 0.0000 0.0000
Pt1 0.0000 0.5000 0.5000
Pt2 0.5000 0.0000 0.5000
Au1 0.5000 0.5000 0.0000

=====

[2]
VASP calculation (PBEsol) on a geometry-optimized ZrAsP structure.

Output
**Energy of formation**: -0.36 eV per atom
**Total energy**: -21.08 eV/f.u.
**Energy above the lowest structure with this stoichiometry**: 0 meV/atom
**SG**: Fmm2

Unit cell a=3.7704 b=4.6634 c=13.1251 alpha=90.00 beta=90.00 gamma=90.00
Fractional coordinates of all 12 atoms:
Zr1 0.0000 0.0000 0.0000
Zr2 0.0000 0.5000 0.5000
Zr3 0.5000 0.0000 0.5000
Zr4 0.5000 0.5000 0.0000
As1 0.0000 0.0000 0.6545
As2 0.0000 0.5000 0.1545
As3 0.5000 0.0000 0.1545
As4 0.5000 0.5000 0.6545
P1 0.0000 0.0000 0.3649
P2 0.0000 0.5000 0.8649
P3 0.5000 0.0000 0.8649
P4 0.5000 0.5000 0.3649